# Na3RuI | Alexandria via LeMat-Bulk | GGA-PBEsol | relaxed
# Formation energy without anion corrections in kJ per mole of atoms: 67.6
# Total energy in eV per atom: -2.527
# D(E_F) in states/eV/cell: 7.94
data_Na3RuI
_chemical_formula_sum 'Na3 Ru1 I1'
_symmetry_space_group_name_H-M 'P m -3 m'
_symmetry_Int_Tables_number 221
_symmetry_space_group_name_Hall '-P 4 2 3'
_cell_length_a 5.619
_cell_length_b 5.619
_cell_length_c 5.619
_cell_angle_alpha 90.00
_cell_angle_beta 90.00
_cell_angle_gamma 90.00
loop_
_atom_site_label
_atom_site_type_symbol
_atom_site_fract_x
_atom_site_fract_y
_atom_site_fract_z
Na1 Na 0.000 0.000 0.500
Ru1 Ru 0.000 0.000 0.000
I1 I 0.500 0.500 0.500